# 1
DFT (PBE) results for crystalline Sr2Sb at its relaxed geometry.

abc: 7.228 7.228 7.301
angles: 90.00 90.00 141.59
Fractional positions:
Sr1 0.000 0.000 0.000
Sr2 0.000 0.000 0.500
Sr3 0.290 0.710 0.750
Sr4 0.710 0.290 0.250
Sb1 0.383 0.617 0.250
Sb2 0.617 0.383 0.750

density: 4.16 g/cm³

---

# 2
DFT (PBE) results for crystalline Sr2Sb at its relaxed geometry.

abc: 4.868 4.868 7.477
angles: 90.00 90.00 120.00
Fractional positions:
Sr1 0.333 0.667 0.225
Sr2 0.667 0.333 0.775
Sb1 0.000 0.000 0.000

density: 3.21 g/cm³

---

# 3
DFT (PBE) results for crystalline Sr3Sb4 at its relaxed geometry.

abc: 7.464 7.464 5.397
angles: 90.00 90.00 120.00
Fractional positions:
Sr1 0.000 0.500 0.000
Sr2 0.500 0.000 0.000
Sr3 0.500 0.500 0.000
Sb1 0.000 0.000 0.247
Sb2 0.000 0.000 0.753
Sb3 0.333 0.667 0.500
Sb4 0.667 0.333 0.500

density: 4.78 g/cm³

---

# 4
DFT (PBE) results for crystalline Sr3Sb2 at its relaxed geometry.

abc: 9.797 9.797 12.345
angles: 95.79 95.79 31.36
Fractional positions:
Sr1 0.000 0.000 0.000
Sr2 0.020 0.020 0.661
Sr3 0.304 0.304 0.362
Sr4 0.328 0.328 0.018
Sr5 0.363 0.363 0.699
Sr6 0.637 0.637 0.301
Sr7 0.672 0.672 0.982
Sr8 0.696 0.696 0.638
Sr9 0.980 0.980 0.339
Sb1 0.144 0.144 0.488
Sb2 0.178 0.178 0.141
Sb3 0.467 0.467 0.188
Sb4 0.533 0.533 0.812
Sb5 0.822 0.822 0.859
Sb6 0.856 0.856 0.512

density: 4.11 g/cm³

---

# 5
DFT (PBE) results for crystalline Sr2Sb at its relaxed geometry.

abc: 8.908 8.908 4.941
angles: 90.00 90.00 120.00
Fractional positions:
Sr1 0.000 0.405 0.000
Sr2 0.000 0.737 0.500
Sr3 0.263 0.263 0.500
Sr4 0.405 0.000 0.000
Sr5 0.595 0.595 0.000
Sr6 0.737 0.000 0.500
Sb1 0.000 0.000 0.000
Sb2 0.333 0.667 0.500
Sb3 0.667 0.333 0.500

density: 4.36 g/cm³

---

# 6
DFT (PBE) results for crystalline Sr2Sb at its relaxed geometry.

abc: 7.454 7.454 7.454
angles: 146.97 146.97 47.41
Fractional positions:
Sr1 0.125 0.125 0.000
Sr2 0.875 0.875 0.000
Sb1 0.500 0.500 0.000

density: 4.02 g/cm³

---

# 7
DFT (PBE) results for crystalline Sr2Sb at its relaxed geometry.

abc: 5.827 5.827 7.291
angles: 90.00 90.00 120.00
Fractional positions:
Sr1 0.000 0.000 0.000
Sr2 0.000 0.000 0.500
Sr3 0.333 0.667 0.250
Sr4 0.667 0.333 0.750
Sb1 0.333 0.667 0.750
Sb2 0.667 0.333 0.250

density: 4.60 g/cm³

---

# 8
DFT (PBE) results for crystalline Sr2Sb3 at its relaxed geometry.

abc: 6.735 13.098 15.338
angles: 90.00 90.08 90.00
Fractional positions:
Sr1 0.006 0.221 0.244
Sr2 0.006 0.279 0.744
Sr3 0.247 0.127 0.996
Sr4 0.247 0.373 0.496
Sr5 0.254 0.624 0.004
Sr6 0.254 0.876 0.504
Sr7 0.492 0.529 0.247
Sr8 0.492 0.971 0.747
Sr9 0.508 0.029 0.253
Sr10 0.508 0.471 0.753
Sr11 0.746 0.124 0.496
Sr12 0.746 0.376 0.996
Sr13 0.753 0.627 0.504
Sr14 0.753 0.873 0.004
Sr15 0.994 0.721 0.256
Sr16 0.994 0.779 0.756
Sb1 0.034 0.031 0.662
Sb2 0.034 0.469 0.162
Sb3 0.085 0.545 0.654
Sb4 0.085 0.955 0.154
Sb5 0.236 0.117 0.424
Sb6 0.236 0.383 0.924
Sb7 0.263 0.631 0.428
Sb8 0.263 0.869 0.928
Sb9 0.420 0.705 0.657
Sb10 0.420 0.795 0.157
Sb11 0.464 0.221 0.659
Sb12 0.464 0.279 0.159
Sb13 0.536 0.721 0.841
Sb14 0.536 0.779 0.341
Sb15 0.580 0.205 0.843
Sb16 0.580 0.295 0.343
Sb17 0.737 0.131 0.072
Sb18 0.737 0.369 0.572
Sb19 0.764 0.617 0.076
Sb20 0.764 0.883 0.576
Sb21 0.915 0.045 0.846
Sb22 0.915 0.455 0.346
Sb23 0.966 0.531 0.838
Sb24 0.966 0.969 0.338

density: 5.31 g/cm³
polymorph energy (0 for the lowest one): 0.0 kJ per mole of atoms

---

# 9
DFT (PBE) results for crystalline Sr2Sb3 at its relaxed geometry.

abc: 9.328 6.429 10.060
angles: 64.59 38.50 76.91
Fractional positions:
Sr1 0.244 0.756 0.355
Sr2 0.605 0.895 0.494
Sr3 0.756 0.244 0.645
Sr4 0.895 0.605 0.006
Sb1 0.159 0.210 0.090
Sb2 0.160 0.709 0.091
Sb3 0.210 0.159 0.541
Sb4 0.389 0.389 0.611
Sb5 0.639 0.639 0.861
Sb6 0.709 0.160 0.040

density: 5.39 g/cm³
polymorph energy (0 for the lowest one): 10.8 kJ per mole of atoms

---

# 10
DFT (PBE) results for crystalline Sr3Sb5 at its relaxed geometry.

abc: 9.780 9.780 6.436
angles: 90.00 90.00 120.00
Fractional positions:
Sr1 0.000 0.384 0.250
Sr2 0.000 0.616 0.750
Sr3 0.384 0.000 0.250
Sr4 0.384 0.384 0.750
Sr5 0.616 0.000 0.750
Sr6 0.616 0.616 0.250
Sb1 0.000 0.179 0.750
Sb2 0.000 0.821 0.250
Sb3 0.179 0.000 0.750
Sb4 0.179 0.179 0.250
Sb5 0.333 0.667 0.000
Sb6 0.333 0.667 0.500
Sb7 0.667 0.333 0.000
Sb8 0.667 0.333 0.500
Sb9 0.821 0.000 0.250
Sb10 0.821 0.821 0.750

density: 5.43 g/cm³
polymorph energy (0 for the lowest one): 13.2 kJ per mole of atoms

---

# 11
DFT (PBE) results for crystalline Sr11Sb10 at its relaxed geometry.

abc: 12.798 12.798 12.798
angles: 120.94 120.94 88.38
Fractional positions:
Sr1 0.059 0.311 0.749
Sr2 0.104 0.439 0.335
Sr3 0.104 0.769 0.665
Sr4 0.160 0.160 0.000
Sr5 0.231 0.896 0.335
Sr6 0.311 0.059 0.749
Sr7 0.311 0.562 0.251
Sr8 0.332 0.332 0.664
Sr9 0.332 0.668 0.000
Sr10 0.438 0.689 0.749
Sr11 0.439 0.104 0.335
Sr12 0.561 0.896 0.665
Sr13 0.562 0.311 0.251
Sr14 0.668 0.332 0.000
Sr15 0.668 0.668 0.336
Sr16 0.689 0.438 0.749
Sr17 0.689 0.941 0.251
Sr18 0.769 0.104 0.665
Sr19 0.840 0.840 0.000
Sr20 0.896 0.231 0.335
Sr21 0.896 0.561 0.665
Sr22 0.941 0.689 0.251
Sb1 0.030 0.030 0.418
Sb2 0.030 0.612 0.000
Sb3 0.120 0.120 0.240
Sb4 0.120 0.880 0.000
Sb5 0.148 0.500 0.648
Sb6 0.250 0.750 0.500
Sb7 0.376 0.376 0.000
Sb8 0.388 0.388 0.418
Sb9 0.388 0.970 0.000
Sb10 0.500 0.148 0.648
Sb11 0.500 0.852 0.352
Sb12 0.612 0.030 0.000
Sb13 0.612 0.612 0.582
Sb14 0.624 0.624 0.000
Sb15 0.750 0.250 0.500
Sb16 0.852 0.500 0.352
Sb17 0.880 0.120 0.000
Sb18 0.880 0.880 0.760
Sb19 0.970 0.388 0.000
Sb20 0.970 0.970 0.582

density: 4.96 g/cm³

---

# 12
DFT (PBE) results for crystalline Sr2Sb at its relaxed geometry.

abc: 7.128 7.128 8.859
angles: 116.32 116.32 38.68
Fractional positions:
Sr1 0.078 0.078 0.374
Sr2 0.333 0.333 0.930
Sr3 0.667 0.667 0.070
Sr4 0.922 0.922 0.626
Sb1 0.337 0.337 0.315
Sb2 0.663 0.663 0.685

density: 3.97 g/cm³

---

# 13
DFT (PBE) results for crystalline Sr2Sb at its relaxed geometry.

abc: 9.020 9.020 5.374
angles: 90.00 90.00 150.20
Fractional positions:
Sr1 0.068 0.932 0.750
Sr2 0.244 0.756 0.250
Sr3 0.756 0.244 0.750
Sr4 0.932 0.068 0.250
Sb1 0.396 0.604 0.750
Sb2 0.604 0.396 0.250

density: 4.54 g/cm³

---

# 14
DFT (PBE) results for crystalline SrSb6 at its relaxed geometry.

abc: 7.297 7.297 7.297
angles: 109.47 109.47 109.47
Fractional positions:
Sr1 0.000 0.000 0.000
Sb1 0.250 0.500 0.750
Sb2 0.250 0.750 0.500
Sb3 0.500 0.250 0.750
Sb4 0.500 0.750 0.250
Sb5 0.750 0.250 0.500
Sb6 0.750 0.500 0.250

density: 4.54 g/cm³

---

# 15
DFT (PBE) results for crystalline Sr2Sb3 at its relaxed geometry.

abc: 9.223 9.223 9.223
angles: 30.95 30.95 30.95
Fractional positions:
Sr1 0.103 0.103 0.103
Sr2 0.897 0.897 0.897
Sb1 0.316 0.316 0.316
Sb2 0.500 0.500 0.500
Sb3 0.684 0.684 0.684

density: 4.88 g/cm³
polymorph energy (0 for the lowest one): 17.5 kJ per mole of atoms

---

# 16
DFT (PBE) results for crystalline Sr2Sb at its relaxed geometry.

abc: 15.771 15.771 15.771
angles: 165.73 164.45 21.17
Fractional positions:
Sr1 0.314 0.064 0.250
Sr2 0.434 0.184 0.250
Sr3 0.566 0.816 0.750
Sr4 0.686 0.936 0.750
Sb1 0.125 0.375 0.750
Sb2 0.875 0.625 0.250

density: 3.80 g/cm³

---

# 17
DFT (PBE) results for crystalline Sr4Sb3 at its relaxed geometry.

abc: 8.681 8.681 8.681
angles: 109.47 109.47 109.47
Fractional positions:
Sr1 0.000 0.145 0.500
Sr2 0.000 0.645 0.500
Sr3 0.145 0.500 0.000
Sr4 0.355 0.355 0.355
Sr5 0.500 0.000 0.145
Sr6 0.500 0.000 0.645
Sr7 0.645 0.500 0.000
Sr8 0.855 0.855 0.855
Sb1 0.125 0.875 0.250
Sb2 0.250 0.125 0.875
Sb3 0.375 0.625 0.750
Sb4 0.625 0.750 0.375
Sb5 0.750 0.375 0.625
Sb6 0.875 0.250 0.125

density: 4.72 g/cm³

---

# 18
DFT (PBE) results for crystalline Sr4Sb at its relaxed geometry.

abc: 6.439 6.439 6.439
angles: 90.00 90.00 90.00
Fractional positions:
Sr1 0.000 0.000 0.000
Sr2 0.000 0.500 0.500
Sr3 0.500 0.000 0.500
Sr4 0.500 0.500 0.000
Sb1 0.500 0.500 0.500

density: 2.94 g/cm³

---

# 19
DFT (PBE) results for crystalline Sr7Sb at its relaxed geometry.

abc: 8.105 8.105 8.105
angles: 60.00 60.00 60.00
Fractional positions:
Sr1 0.000 0.000 0.000
Sr2 0.000 0.000 0.500
Sr3 0.000 0.500 0.000
Sr4 0.000 0.500 0.500
Sr5 0.500 0.000 0.000
Sr6 0.500 0.000 0.500
Sr7 0.500 0.500 0.000
Sb1 0.500 0.500 0.500

density: 3.24 g/cm³

---

# 20
DFT (PBE) results for crystalline Sr2Sb at its relaxed geometry.

abc: 9.610 9.610 9.610
angles: 149.51 149.51 43.66
Fractional positions:
Sr1 0.000 0.500 0.500
Sr2 0.178 0.178 0.000
Sr3 0.500 0.000 0.500
Sr4 0.822 0.822 0.000
Sb1 0.365 0.365 0.000
Sb2 0.635 0.635 0.000

density: 4.33 g/cm³

---

| no. | formation energy (no corrections) (eV per atom) |
| --- | --- |
| 1 | -0.8068 |
| 2 | -0.6936 |
| 3 | -0.3412 |
| 4 | -1.0120 |
| 5 | -0.7904 |
| 6 | -0.6462 |
| 7 | -0.7112 |
| 8 | -0.8017 |
| 9 | -0.6895 |
| 10 | -0.5608 |
| 11 | -0.9822 |
| 12 | -0.7293 |
| 13 | -0.6888 |
| 14 | 0.2038 |
| 15 | -0.6208 |
| 16 | -0.6115 |
| 17 | -1.0142 |
| 18 | -0.3618 |
| 19 | -0.1361 |
| 20 | -0.8636 |